## SrScRh2 (PBE-GGA)

Data for a geometry-optimized SrScRh2 structure.

Values from the calculation:
ΔE_f ... -20.64 kJ per mole of atoms

a b c (Å): 3.3682 3.3682 25.1179
angles (deg): 90.00 90.00 120.00
Space group R-3m (No. 166, hexagonal axes)
Unique sites:
1 Sr 0.0000 0.0000 0.0000 [3 per cell]
2 Sc 0.0000 0.0000 0.5000 [3 per cell]
3 Rh 0.0000 0.0000 0.2404 [6 per cell]

## Pm12Ge6Ru (PBE-GGA)

Data for a geometry-optimized Pm12Ge6Ru structure.

Values from the calculation:
ΔE_f ... -47.84 kJ per mole of atoms

a b c (Å): 13.0086 13.0086 12.0673
angles (deg): 90.00 90.00 120.00
Space group R-3 (No. 148, hexagonal axes)
Unique sites:
1 Pm 0.0334 0.2064 0.3925 [18 per cell]
2 Pm 0.0500 0.2041 0.8854 [18 per cell]
3 Ge 0.0486 0.2723 0.6481 [18 per cell]
4 Ru 0.0000 0.0000 0.0000 [3 per cell]

## LiLaP2Cl (PBE-GGA)

Data for a geometry-optimized LiLaP2Cl structure.

Values from the calculation:
Formation energy from raw total energies ... -708 meV per atom

a b c (Å): 4.392 4.392 5.097
angles (deg): 90.00 90.00 90.00
Space group P4/mmm (No. 123)
Unique sites:
1 Li 0.000 0.000 0.000 [1 per cell]
2 La 0.500 0.500 0.500 [1 per cell]
3 P 0.000 0.500 0.000 [2 per cell]
4 Cl 0.000 0.000 0.500 [1 per cell]

## In2PW (PBE-GGA)

Data for a geometry-optimized In2PW structure.

Values from the calculation:
ΔE_f ... 73.91 kJ per mole of atoms

a b c (Å): 5.612 10.162 3.237
angles (deg): 90.00 124.05 90.00
Space group C2/m (No. 12)
Unique sites:
1 In 0.250 0.250 0.000 [4 per cell]
2 P 0.000 0.000 0.500 [2 per cell]
3 W 0.000 0.500 0.500 [2 per cell]

## Li3In4Ag2Au2 (PBE-GGA)

Data for a geometry-optimized Li3In4Ag2Au2 structure.

Values from the calculation:
ΔE_f ... -27.57 kJ per mole of atoms

a b c (Å): 4.7458 4.7458 11.1487
angles (deg): 90.00 90.00 120.00
Space group P-3m1 (No. 164)
Unique sites:
1 Li 0.0000 0.0000 0.0000 [1 per cell]
2 Li 0.0000 0.0000 0.2625 [2 per cell]
3 In 0.3333 0.6667 0.4234 [2 per cell]
4 In 0.3333 0.6667 0.9167 [2 per cell]
5 Ag 0.3333 0.6667 0.6707 [2 per cell]
6 Au 0.3333 0.6667 0.1709 [2 per cell]

## K4RbAu4 (PBE-GGA)

Data for a geometry-optimized K4RbAu4 structure.

Values from the calculation:
ΔE_f ... -24.72 kJ per mole of atoms

a b c (Å): 10.544 10.544 6.647
angles (deg): 90.00 90.00 90.00
Space group P4_2/n (No. 86, origin choice 2)
Unique sites:
1 K 0.082 0.652 0.135 [8 per cell]
2 Rb 0.250 0.250 0.250 [2 per cell]
3 Au 0.035 0.606 0.628 [8 per cell]

## TaMnPt (PBE-GGA)

Data for a geometry-optimized TaMnPt structure.

Values from the calculation:
ΔE_f ... -20.25 kJ per mole of atoms

a b c (Å): 4.016 4.016 11.673
angles (deg): 90.00 90.00 90.00
Space group I4/mmm (No. 139)
Unique sites:
1 Ta 0.000 0.000 0.145 [4 per cell]
2 Mn 0.000 0.500 0.000 [4 per cell]
3 Pt 0.000 0.000 0.364 [4 per cell]

## ZrSi3Pd (PBE-GGA)

Data for a geometry-optimized ZrSi3Pd structure.

Values from the calculation:
Formation energy from raw total energies ... 1031 meV per atom

a b c (Å): 4.999 4.999 4.999
angles (deg): 90.00 90.00 90.00
Space group Pm-3m (No. 221)
Unique sites:
1 Zr 0.000 0.000 0.000 [1 per cell]
2 Si 0.000 0.000 0.500 [3 per cell]
3 Pd 0.500 0.500 0.500 [1 per cell]

## CsK4Rb6 (PBE-GGA)

Data for a geometry-optimized CsK4Rb6 structure.

Values from the calculation:
ΔE_f ... 6.39 kJ per mole of atoms

a b c (Å): 10.790 10.790 17.964
angles (deg): 90.00 90.00 90.00
Space group I-42m (No. 121)
Unique sites:
1 Cs 0.000 0.000 0.000 [2 per cell]
2 K 0.152 0.152 0.415 [8 per cell]
3 Rb 0.000 0.500 0.000 [4 per cell]
4 Rb 0.238 0.238 0.692 [8 per cell]

## ScAlGa4Ru2 (PBE-GGA)

Data for a geometry-optimized ScAlGa4Ru2 structure.

Values from the calculation:
ΔE_f ... -7.38 kJ per mole of atoms

a b c (Å): 3.537 3.537 11.172
angles (deg): 90.00 90.00 90.00
Space group P4/mmm (No. 123)
Unique sites:
1 Sc 0.000 0.000 0.000 [1 per cell]
2 Al 0.000 0.000 0.500 [1 per cell]
3 Ga 0.000 0.500 0.211 [4 per cell]
4 Ru 0.500 0.500 0.382 [2 per cell]